(1)
## LaPr3Er12 (PBE-GGA)

Data for an optimized crystal structure of LaPr3Er12.

Geometry as POSCAR:
```
LaPr3Er12
1.0
5.0384 0.0000 0.0000
0.0000 5.0384 0.0000
0.0000 0.0000 20.1566
Pr Er La
3 12 1
Cartesian
0.0000 0.0000 15.1186 Pr
0.0000 0.0000 5.0380 Pr
0.0000 0.0000 10.0783 Pr
2.5192 2.5192 5.0527 Er
2.5192 0.0000 2.5434 Er
2.5192 2.5192 10.0783 Er
2.5192 0.0000 12.5932 Er
0.0000 2.5192 7.5634 Er
0.0000 2.5192 12.5932 Er
2.5192 0.0000 7.5634 Er
2.5192 2.5192 0.0000 Er
0.0000 2.5192 17.6132 Er
2.5192 0.0000 17.6132 Er
2.5192 2.5192 15.1039 Er
0.0000 2.5192 2.5434 Er
0.0000 0.0000 0.0000 La
```

Calculated density   8.34 g cm⁻³
Energy of formation   30 meV/atom
Total moment   0.00 μB/cell

=====

(2)
## Ho2GeAu (PBE-GGA)

Data for an optimized crystal structure of Ho2GeAu.

Geometry as POSCAR:
```
Ho2GeAu
1.0
3.5724 0.0000 0.0000
0.0000 3.5724 0.0000
0.0000 0.0000 7.1435
Ge Ho Au
1 2 1
Cartesian
1.7862 1.7862 0.0000 Ge
0.0000 0.0000 5.3815 Ho
0.0000 0.0000 1.7620 Ho
1.7862 1.7862 3.5718 Au
```

Calculated density   10.92 g cm⁻³
Energy of formation   -768 meV/atom
Total moment   0.00 μB/cell